Rb3Dy3TmTe8 (PBE, relaxed); crystal system = trigonal; symmetry = R-3m (166); formation energy from raw total energies = -1897 kJ/mol of formula units; calculated volume = 39.55 Å³ per atom; N(E_F) = 0.44 states/eV per atom
1.0
-4.272 -4.401 -6.300
8.015 3.265 -1.576
-0.283 -8.278 5.974
Te Tm Rb Dy
8 1 3 3
direct
0.266 0.034 0.302
0.734 0.966 0.698
0.232 0.966 0.698
0.768 0.034 0.302
0.232 0.464 0.698
0.267 0.533 0.300
0.733 0.467 0.700
0.768 0.536 0.302
0.000 0.000 0.500
0.500 0.500 0.000
0.000 0.500 0.000
0.000 0.000 0.000
0.500 0.000 0.500
0.000 0.500 0.500
0.500 0.500 0.500